Entry 1:
An optimized crystal structure of Mo5W3. Source: Alexandria via LeMat-Bulk, functional GGA-PBE.

Properties
formation enthalpy at 0 K = 352 meV/atom
relative energy among the computed polymorphs = 364 meV/atom

abc: 7.6405 7.6405 5.2536
angles: 90.00 90.00 60.00
Element x y z (fractional)
Mo1 0.2320 0.0000 0.2500
Mo2 0.3333 0.3333 0.0000
Mo3 0.0000 0.7680 0.2500
W1 0.0000 0.6013 0.7500
Mo4 0.7680 0.2320 0.2500
W2 0.6013 0.3987 0.7500
Mo5 0.0000 0.2320 0.7500
W3 0.3987 0.6013 0.2500
Mo6 0.2320 0.7680 0.7500
Mo7 0.6667 0.6667 0.0000
Mo8 0.3333 0.3333 0.5000
W4 0.0000 0.3987 0.2500
Mo9 0.7680 0.0000 0.7500
W5 0.3987 0.0000 0.7500
Mo10 0.6667 0.6667 0.5000
W6 0.6013 0.0000 0.2500

---

Entry 2:
An optimized crystal structure of PmNdMgIr. Source: Alexandria via LeMat-Bulk, functional GGA-PBE.

Properties
formation enthalpy at 0 K = -318 meV/atom

abc: 5.1747 5.1747 5.1747
angles: 60.00 60.00 60.00
Element x y z (fractional)
Mg1 0.0000 0.0000 0.0000
Pm1 0.2500 0.2500 0.2500
Nd1 0.7500 0.7500 0.7500
Ir1 0.5000 0.5000 0.5000

---

Entry 3:
An optimized crystal structure of SrY2Tm. Source: Alexandria via LeMat-Bulk, functional GGA-PBE.

Properties
formation enthalpy at 0 K = 139 meV/atom
relative energy among the computed polymorphs = 15 meV/atom

abc: 3.6629 3.6629 12.3796
angles: 81.49 81.49 60.00
Element x y z (fractional)
Y1 0.2574 0.2574 0.2279
Tm1 0.0000 0.0000 0.0000
Sr1 0.5000 0.5000 0.5000
Y2 0.7426 0.7426 0.7721

---

Entry 4:
An optimized crystal structure of La4Tb10Y. Source: Alexandria via LeMat-Bulk, functional GGA-PBE.

Properties
formation enthalpy at 0 K = 346 meV/atom

abc: 10.6894 8.7758 8.7758
angles: 68.23 52.48 52.48
Element x y z (fractional)
Tb1 0.7500 0.5000 0.5000
Tb2 0.2252 0.3222 0.9055
Tb3 0.8692 0.9055 0.6778
Tb4 0.4526 0.0945 0.3222
Tb5 0.2500 0.5000 0.5000
Tb6 0.5471 0.3222 0.9055
La1 0.6654 0.2702 0.3990
La2 0.3346 0.7298 0.6010
La3 0.9356 0.3990 0.7298
Tb7 0.1308 0.0945 0.3222
Y1 0.0000 0.0000 0.0000
La4 0.0644 0.6010 0.2702
Tb8 0.7748 0.6778 0.0945
Tb9 0.5474 0.9055 0.6778
Tb10 0.4529 0.6778 0.0945

---

Entry 5:
An optimized crystal structure of RbTlSb. Source: Alexandria via LeMat-Bulk, functional GGA-PBE.

Properties
uncorrected formation energy = -0.180 eV/atom
relative energy among the computed polymorphs = 108 meV/atom

abc: 5.9470 4.9230 4.9230
angles: 120.00 90.00 90.00
Element x y z (fractional)
Rb1 0.6685 0.6667 0.3333
Tl1 0.0783 0.0000 0.0000
Sb1 0.2531 0.3333 0.6667

---

Entry 6:
An optimized crystal structure of ZrScNi. Source: Alexandria via LeMat-Bulk, functional GGA-PBE.

Properties
formation enthalpy at 0 K = -308 meV/atom
relative energy among the computed polymorphs = 0 meV/atom

abc: 3.3815 5.8970 6.4061
angles: 73.43 74.70 73.34
Element x y z (fractional)
Sc1 0.0125 0.4073 0.5677
Sc2 0.5761 0.9642 0.8836
Zr1 0.7671 0.3428 0.1230
Ni1 0.2981 0.5796 0.8241
Ni2 0.0390 0.7402 0.1817
Zr2 0.3304 0.9057 0.4334

---

Entry 7:
An optimized crystal structure of Dy8InSn2. Source: Alexandria via LeMat-Bulk, functional GGA-PBE.

Properties
formation enthalpy at 0 K = -323 meV/atom

abc: 5.0976 6.8129 10.0342
angles: 103.54 104.72 90.00
Element x y z (fractional)
Sn1 0.1812 0.7574 0.3624
Dy1 0.5923 0.4771 0.1845
In1 0.5000 0.0000 0.0000
Dy2 0.3417 0.0013 0.6835
Dy3 0.7855 0.6768 0.5711
Dy4 0.6583 0.9987 0.3165
Dy5 0.9789 0.2344 0.9577
Dy6 0.0211 0.7656 0.0423
Sn2 0.8188 0.2426 0.6376
Dy7 0.2145 0.3232 0.4289
Dy8 0.4077 0.5229 0.8155

---

Entry 8:
An optimized crystal structure of PuAgSnRu. Source: Alexandria via LeMat-Bulk, functional GGA-PBE.

Properties
formation enthalpy at 0 K = 14 meV/atom

abc: 4.8453 4.8453 4.8453
angles: 60.00 60.00 60.00
Last column: magnetic moment on the atom in μB.
Element x y z (fractional)
Sn1 0.5000 0.5000 0.5000  0.00
Pu1 0.0000 0.0000 0.0000  5.10
Ru1 0.7500 0.7500 0.7500  -0.36
Ag1 0.2500 0.2500 0.2500  0.04

---

no.,magnetic moment (μB/cell),calculated volume (Å³/f.u.)
1,0.0,132.8
2,0.0,98.0
3,0.0,141.7
4,0.0,517.9
5,0.0,124.8
6,0.0,57.5
7,0.0,327.0
8,5.0,80.4